Entry 1:
Y2C at its PBEsol-relaxed geometry. Source: Alexandria, functional meta-GGA SCAN.

abc: 5.9219 5.9894 3.5698
angles: 90.00 90.00 90.00
Sites, in units of the cell vectors:
Y1 0.2247 0.1796 0.0000
Y2 0.2753 0.6796 0.5000
Y3 0.7247 0.3204 0.5000
Y4 0.7753 0.8204 0.0000
C1 0.0000 0.0000 0.5000
C2 0.5000 0.5000 0.0000

space group: No. 58
energy relative to the elements: -0.324 eV per atom
energy: -133.5 eV per cell
density of states at the Fermi level: 0.274 states/eV/atom

***

Entry 2:
Rb2In3 at its PBEsol-relaxed geometry. Source: Alexandria, functional meta-GGA SCAN.

abc: 9.1880 9.1880 9.1880
angles: 136.34 136.34 63.46
Sites, in units of the cell vectors:
Rb1 0.1101 0.1101 0.0000
Rb2 0.2500 0.7500 0.5000
Rb3 0.7500 0.2500 0.5000
Rb4 0.8899 0.8899 0.0000
In1 0.2037 0.5000 0.7037
In2 0.3512 0.3512 0.0000
In3 0.5000 0.2037 0.7037
In4 0.5000 0.7963 0.2963
In5 0.6488 0.6488 0.0000
In6 0.7963 0.5000 0.2963

space group: No. 139
energy relative to the elements: -0.289 eV per atom
energy: -286.2 eV per cell
density of states at the Fermi level: 0.046 states/eV/atom

***

Entry 3:
ReRh2Se at its PBEsol-relaxed geometry. Source: Alexandria, functional meta-GGA SCAN.

abc: 2.7835 2.7835 7.5646
angles: 90.00 90.00 90.00
Sites, in units of the cell vectors:
Re1 0.0000 0.0000 0.0000
Rh1 0.5000 0.5000 0.2360
Rh2 0.5000 0.5000 0.7640
Se1 0.0000 0.0000 0.5000

space group: No. 123
energy: -158.4 eV per cell
density of states at the Fermi level: 0.720 states/eV/atom
uncorrected formation energy: 78 meV per atom

***

Entry 4:
LiMg at its PBEsol-relaxed geometry. Source: Alexandria, functional meta-GGA SCAN.

abc: 11.0714 3.3474 6.7607
angles: 90.00 107.49 90.00
Sites, in units of the cell vectors:
Li1 0.0000 0.0000 0.0000
Li2 0.0059 0.0000 0.4874
Li3 0.1607 0.5000 0.3223
Li4 0.5000 0.5000 0.0000
Li5 0.5059 0.5000 0.4874
Li6 0.6607 0.0000 0.3223
Mg1 0.1575 0.5000 0.8229
Mg2 0.3360 0.0000 0.1697
Mg3 0.3392 0.0000 0.6538
Mg4 0.6575 0.0000 0.8229
Mg5 0.8360 0.5000 0.1697
Mg6 0.8392 0.5000 0.6538

space group: No. 8
energy relative to the elements: -0.051 eV per atom
energy: -44.8 eV per cell
density of states at the Fermi level: 0.377 states/eV/atom

***

Entry 5:
Mn2CoIr at its PBEsol-relaxed geometry. Source: Alexandria, functional meta-GGA SCAN.

abc: 2.8289 4.1401 8.2835
angles: 90.00 90.00 90.00
Sites, in units of the cell vectors:
Mn1 0.0000 0.0000 0.0000
Mn2 0.0000 0.5000 0.2528
Mn3 0.5000 0.0000 0.7528
Mn4 0.5000 0.5000 0.5000
Co1 0.0000 0.0000 0.5130
Co2 0.5000 0.5000 0.0130
Ir1 0.0000 0.5000 0.7514
Ir2 0.5000 0.0000 0.2514

space group: No. 44
energy relative to the elements: -0.224 eV per atom
energy: -251.6 eV per cell
density of states at the Fermi level: 0.674 states/eV/atom

***

Entry 6:
Ta2RuAu2 at its PBEsol-relaxed geometry. Source: Alexandria, functional meta-GGA SCAN.

abc: 3.7373 3.7373 12.9851
angles: 90.00 90.00 90.00
Sites, in units of the cell vectors:
Ta1 0.0000 0.5000 0.2500
Ta2 0.0000 0.5000 0.7500
Ta3 0.5000 0.0000 0.2500
Ta4 0.5000 0.0000 0.7500
Ru1 0.0000 0.0000 0.0000
Ru2 0.5000 0.5000 0.5000
Au1 0.0000 0.0000 0.4031
Au2 0.0000 0.0000 0.5969
Au3 0.5000 0.5000 0.0969
Au4 0.5000 0.5000 0.9031

space group: No. 139
energy relative to the elements: 0.578 eV per atom
energy: -606.8 eV per cell
density of states at the Fermi level: 0.682 states/eV/atom

***

Entry 7:
ZnMoSe2 at its PBEsol-relaxed geometry. Source: Alexandria, functional meta-GGA SCAN.

abc: 3.2207 3.3304 13.1491
angles: 90.00 90.00 90.00
Sites, in units of the cell vectors:
Zn1 0.0000 0.0000 0.0000
Zn2 0.5000 0.5000 0.5000
Mo1 0.0000 0.5000 0.2427
Mo2 0.5000 0.0000 0.7427
Se1 0.0000 0.0000 0.5963
Se2 0.0000 0.5000 0.8357
Se3 0.5000 0.0000 0.3357
Se4 0.5000 0.5000 0.0963

space group: No. 44
energy: -177.2 eV per cell
density of states at the Fermi level: 0.254 states/eV/atom
uncorrected formation energy: -7 meV per atom

***

Entry 8:
YZn3Cu at its PBEsol-relaxed geometry. Source: Alexandria, functional meta-GGA SCAN.

abc: 5.3684 5.3684 5.3684
angles: 90.00 90.00 90.00
Sites, in units of the cell vectors:
Y1 0.0000 0.0000 0.0000
Zn1 0.0000 0.0000 0.5000
Zn2 0.0000 0.5000 0.0000
Zn3 0.5000 0.0000 0.0000
Cu1 0.5000 0.5000 0.5000

space group: No. 221
energy relative to the elements: 1.352 eV per atom
excess energy over the best structure of this formula in the dataset: 7.44 eV/f.u.
energy: -76.8 eV per cell
density of states at the Fermi level: 0.664 states/eV/atom

***

- The lowest density of states at the Fermi level belongs to which entry?
  Rb2In3